Here is Ac3Pd5S12 after structural relaxation from Alexandria via LeMat-Bulk. Energies are from PBE.

POSCAR file:
```
Ac3Pd5S12
1.0
-9.983 0.888 8.933
10.129 -7.044 5.294
4.289 12.324 -3.158
Ac S Pd
12 48 20
direct
0.750 0.375 0.125
0.875 0.750 0.125
0.375 0.750 0.625
0.250 0.125 0.375
0.875 0.125 0.250
0.375 0.625 0.250
0.625 0.375 0.750
0.125 0.875 0.750
0.750 0.875 0.625
0.625 0.250 0.375
0.125 0.250 0.875
0.250 0.625 0.875
0.698 0.114 0.024
0.325 0.524 0.409
0.976 0.386 0.302
0.524 0.198 0.114
0.584 0.698 0.675
0.976 0.591 0.175
0.325 0.802 0.416
0.091 0.916 0.114
0.591 0.976 0.675
0.698 0.584 0.175
0.802 0.476 0.386
0.825 0.909 0.024
0.114 0.698 0.524
0.386 0.409 0.084
0.084 0.909 0.386
0.416 0.114 0.591
0.084 0.175 0.198
0.476 0.675 0.091
0.825 0.916 0.302
0.114 0.416 0.091
0.386 0.976 0.802
0.591 0.614 0.416
0.909 0.825 0.524
0.802 0.325 0.916
0.409 0.386 0.584
0.091 0.175 0.476
0.198 0.675 0.084
0.175 0.084 0.698
0.614 0.024 0.198
0.886 0.584 0.909
0.524 0.325 0.909
0.584 0.886 0.409
0.916 0.825 0.802
0.916 0.091 0.614
0.886 0.302 0.476
0.175 0.091 0.976
0.614 0.591 0.916
0.409 0.024 0.325
0.302 0.416 0.825
0.198 0.524 0.614
0.909 0.084 0.886
0.675 0.198 0.584
0.476 0.802 0.886
0.024 0.409 0.825
0.416 0.302 0.325
0.024 0.614 0.698
0.675 0.476 0.591
0.302 0.886 0.976
0.125 0.375 0.250
0.000 0.500 0.000
0.000 0.000 0.000
0.375 0.250 0.125
0.500 0.000 0.500
0.500 0.500 0.000
0.125 0.750 0.375
0.750 0.125 0.875
0.750 0.625 0.375
0.375 0.125 0.750
0.625 0.875 0.250
0.500 0.500 0.500
0.500 0.000 0.000
0.000 0.000 0.500
0.250 0.375 0.625
0.250 0.875 0.125
0.000 0.500 0.500
0.875 0.250 0.625
0.625 0.750 0.875
0.875 0.625 0.750
```

Properties
Energy relative to the elements, uncorrected in eV/atom: -0.79
Calculated density in g cm⁻³: 5.698
Space-group type: Ia-3d (230)



Here is AcPd3S4 after structural relaxation from Alexandria via LeMat-Bulk. Energies are from PBE.

POSCAR file:
```
AcPd3S4
1.0
6.875 0.000 0.000
0.000 6.875 0.000
0.000 0.000 6.875
Ac S Pd
2 8 6
direct
0.000 0.000 0.000
0.500 0.500 0.500
0.250 0.250 0.250
0.250 0.750 0.250
0.250 0.250 0.750
0.250 0.750 0.750
0.750 0.250 0.250
0.750 0.250 0.750
0.750 0.750 0.250
0.750 0.750 0.750
0.000 0.500 0.250
0.000 0.500 0.750
0.250 0.000 0.500
0.500 0.250 0.000
0.500 0.750 0.000
0.750 0.000 0.500
```

Properties
Energy relative to the elements, uncorrected in eV/atom: -0.94
Calculated density in g cm⁻³: 6.894
Space-group type: Pm-3n (223)



Here is AcPd2S after structural relaxation from Alexandria via LeMat-Bulk. Energies are from PBE.

POSCAR file:
```
AcPd2S
1.0
-3.130 2.467 3.300
0.339 -0.935 5.077
1.599 3.267 3.131
Ac S Pd
1 1 2
direct
0.500 0.500 0.500
0.000 0.000 0.000
0.219 0.219 0.343
0.781 0.781 0.657
```

Properties
Energy relative to the elements, uncorrected in eV/atom: -0.55
Calculated density in g cm⁻³: 9.000
Space-group type: R-3m (166)



Here is AcPd3S3 after structural relaxation from Alexandria via LeMat-Bulk. Energies are from PBE.

POSCAR file:
```
AcPd3S3
1.0
6.671 0.000 0.000
0.000 6.671 0.000
0.000 0.000 6.671
Ac S Pd
2 6 6
direct
0.500 0.500 0.500
0.000 0.000 0.000
0.250 0.000 0.500
0.000 0.500 0.250
0.500 0.750 0.000
0.750 0.000 0.500
0.000 0.500 0.750
0.500 0.250 0.000
0.000 0.250 0.500
0.000 0.750 0.500
0.500 0.000 0.750
0.750 0.500 0.000
0.500 0.000 0.250
0.250 0.500 0.000
```

Properties
Energy relative to the elements, uncorrected in eV/atom: -0.60
Relative energy among the computed polymorphs in meV per atom: 115
Calculated density in g cm⁻³: 7.188
Space-group type: Pm-3n (223)



Here is AcPdS4 after structural relaxation from Alexandria via LeMat-Bulk. Energies are from PBE.

POSCAR file:
```
AcPdS4
1.0
4.715 0.317 1.334
2.206 4.180 1.334
-0.500 -0.325 7.280
Ac Pd S
1 1 4
direct
0.500 0.500 0.500
0.000 0.000 0.000
0.396 0.396 0.952
0.604 0.604 0.048
0.858 0.858 0.325
0.142 0.142 0.675
```

Properties
Energy relative to the elements, uncorrected in eV/atom: -0.83
Calculated density in g cm⁻³: 5.397
Space-group type: C2/m (12)



Here is AcPd3S3 after structural relaxation from Alexandria via LeMat-Bulk. Energies are from PBE.

POSCAR file:
```
AcPd3S3
1.0
6.981 0.000 0.000
3.490 6.045 0.000
3.490 2.015 7.039
Ac Pd S
2 6 6
direct
0.333 0.333 0.000
0.667 0.667 0.000
0.470 0.781 0.625
0.781 0.124 0.625
0.124 0.470 0.625
0.876 0.530 0.375
0.219 0.876 0.375
0.530 0.219 0.375
0.239 0.590 0.259
0.911 0.239 0.259
0.590 0.911 0.259
0.410 0.089 0.741
0.089 0.761 0.741
0.761 0.410 0.741
```

Properties
Energy relative to the elements, uncorrected in eV/atom: -0.71
Relative energy among the computed polymorphs in meV per atom: 0
Calculated density in g cm⁻³: 7.182
Space-group type: R-3 (148)